[1]
The following is a DFT calculation (PBE) of a relaxed structure of Ni2IrPt.

Structure (CIF):
```
data_Ni2IrPt
_chemical_formula_sum 'Ni2 Ir1 Pt1'
_symmetry_space_group_name_H-M 'P 4/m m m'
_symmetry_Int_Tables_number 123
_symmetry_space_group_name_Hall '-P 4 2'
_cell_length_a 3.814
_cell_length_b 3.814
_cell_length_c 3.591
_cell_angle_alpha 90.00
_cell_angle_beta 90.00
_cell_angle_gamma 90.00
loop_
_atom_site_label
_atom_site_fract_x
_atom_site_fract_y
_atom_site_fract_z
_atom_site_occupancy
Ni1 0.000 0.500 0.000 1
Ir1 0.000 0.000 0.500 1
Pt1 0.500 0.500 0.500 1
```

Computed properties:
The energy above the most stable polymorph in this dataset is 49 meV per atom. As for the density: 16.0 g cm⁻³.

=====

[2]
The following is a DFT calculation (PBE) of a relaxed structure of Ni4Ir2Pt3.

Structure (CIF):
```
data_Ni4Ir2Pt3
_chemical_formula_sum 'Ni8 Ir4 Pt6'
_symmetry_space_group_name_H-M 'C 1 2/m 1'
_symmetry_Int_Tables_number 12
_cell_length_a 13.940
_cell_length_b 2.702
_cell_length_c 6.481
_cell_angle_alpha 90.00
_cell_angle_beta 90.13
_cell_angle_gamma 90.00
loop_
_symmetry_equiv_pos_as_xyz
'x,y,z'
'-x,-y,-z'
'-x,y,-z'
'x,-y,z'
'x+1/2,y+1/2,z'
'-x+1/2,-y+1/2,-z'
'-x+1/2,y+1/2,-z'
'x+1/2,-y+1/2,z'
loop_
_atom_site_label
_atom_site_fract_x
_atom_site_fract_y
_atom_site_fract_z
_atom_site_occupancy
Ni1 0.059 0.000 0.333 1
Ni2 0.221 0.500 0.332 1
Ir1 0.170 0.000 0.006 1
Pt1 0.000 0.500 0.000 1
Pt2 0.113 0.500 0.654 1
```

Computed properties:
As for the density: 16.4 g cm⁻³. The calculation puts the total DFT energy (no corrections) at -6.56 eV per atom.

=====

[3]
The following is a DFT calculation (PBE) of a relaxed structure of Ni2IrPt.

Structure (CIF):
```
data_Ni2IrPt
_chemical_formula_sum 'Ni2 Ir1 Pt1'
_symmetry_space_group_name_H-M 'P m m 2'
_symmetry_Int_Tables_number 25
_cell_length_a 2.690
_cell_length_b 3.722
_cell_length_c 5.275
_cell_angle_alpha 90.00
_cell_angle_beta 90.00
_cell_angle_gamma 90.00
loop_
_symmetry_equiv_pos_as_xyz
'x,y,z'
'-x,-y,z'
'-x,y,z'
'x,-y,z'
loop_
_atom_site_label
_atom_site_fract_x
_atom_site_fract_y
_atom_site_fract_z
_atom_site_occupancy
Ni1 0.000 0.000 0.000 1
Ni2 0.500 0.500 0.244 1
Ir1 0.500 0.500 0.768 1
Pt1 0.000 0.000 0.491 1
```

Computed properties:
The energy above the most stable polymorph in this dataset is 67 meV per atom. As for the density: 15.9 g cm⁻³.

=====

[4]
The following is a DFT calculation (PBE) of a relaxed structure of NiIr2Pt.

Structure (CIF):
```
data_NiIr2Pt
_chemical_formula_sum 'Ni1 Ir2 Pt1'
_symmetry_space_group_name_H-M 'P 4/m m m'
_symmetry_Int_Tables_number 123
_symmetry_space_group_name_Hall '-P 4 2'
_cell_length_a 3.828
_cell_length_b 3.828
_cell_length_c 3.840
_cell_angle_alpha 90.00
_cell_angle_beta 90.00
_cell_angle_gamma 90.00
loop_
_atom_site_label
_atom_site_fract_x
_atom_site_fract_y
_atom_site_fract_z
_atom_site_occupancy
Ni1 0.000 0.000 0.000 1
Ir1 0.000 0.500 0.500 1
Pt1 0.500 0.500 0.000 1
```

Computed properties:
The energy above the most stable polymorph in this dataset is 71 meV per atom. As for the density: 18.8 g cm⁻³.

=====

[5]
The following is a DFT calculation (PBE) of a relaxed structure of Ni2IrPt6.

Structure (CIF):
```
data_Ni2IrPt6
_chemical_formula_sum 'Ni6 Ir3 Pt18'
_symmetry_space_group_name_H-M 'R 3 m'
_symmetry_Int_Tables_number 160
_symmetry_space_group_name_Hall 'R 3 -2"'
_cell_length_a 5.3519
_cell_length_b 5.3519
_cell_length_c 19.3684
_cell_angle_alpha 90.00
_cell_angle_beta 90.00
_cell_angle_gamma 120.00
loop_
_atom_site_label
_atom_site_fract_x
_atom_site_fract_y
_atom_site_fract_z
_atom_site_occupancy
Ni1 0.0000 0.0000 0.0000 1
Ni2 0.0000 0.0000 0.2228 1
Ir1 0.0000 0.0000 0.7776 1
Pt1 0.0025 0.5013 0.2156 1
Pt2 0.0051 0.5025 0.0063 1
```

Computed properties:
The energy above the most stable polymorph in this dataset is 271 meV per atom. As for the density: 15.3 g cm⁻³.

=====

[6]
The following is a DFT calculation (PBE) of a relaxed structure of Ni2IrPt.

Structure (CIF):
```
data_Ni2IrPt
_chemical_formula_sum 'Ni2 Ir1 Pt1'
_symmetry_space_group_name_H-M 'P 1 m 1'
_symmetry_Int_Tables_number 6
_cell_length_a 2.660
_cell_length_b 4.029
_cell_length_c 5.095
_cell_angle_alpha 90.00
_cell_angle_beta 104.95
_cell_angle_gamma 90.00
loop_
_symmetry_equiv_pos_as_xyz
'x,y,z'
'x,-y,z'
loop_
_atom_site_label
_atom_site_fract_x
_atom_site_fract_y
_atom_site_fract_z
_atom_site_occupancy
Ni1 0.000 0.000 0.000 1
Ni2 0.138 0.500 0.266 1
Ir1 0.401 0.500 0.797 1
Pt1 0.746 0.000 0.484 1
```

Computed properties:
The energy above the most stable polymorph in this dataset is 97 meV per atom. As for the density: 15.9 g cm⁻³.

=====

no.,DOS(E_F) (states/eV/atom)
1,1.34
2,1.73
3,1.76
4,1.58
5,1.45
6,1.92